The following is a DFT calculation (PBE) of K2LiCa after structural relaxation.

Unit cell a=15.1854 b=4.3157 c=6.4067 alpha=90.00 beta=114.67 gamma=90.00
Space group C2/m (No. 12)
Unique sites:
K 0.2148 0.0000 0.2147
Li 0.0000 0.5000 0.0000
Ca 0.0000 0.0000 0.5000

For the final energy, the calculation gives -5.4 eV/f.u. The value obtained for the polymorph energy (0 for the lowest one) is 6.9 kJ per mole of atoms. The energy of formation is 0.179 eV per atom.

***

The following is a DFT calculation (PBE) of NaRuRh after structural relaxation.

Unit cell a=4.0892 b=4.0892 c=9.0923 alpha=90.00 beta=90.00 gamma=120.00
Space group P6_3/mmc (No. 194)
Unique sites:
Na 0.0000 0.0000 0.0000
Ru 0.3333 0.6667 0.2500
Rh 0.3333 0.6667 0.7500

For the final energy, the calculation gives -15.3 eV/f.u. The value obtained for the polymorph energy (0 for the lowest one) is 55.5 kJ per mole of atoms. The energy of formation is 0.868 eV per atom.

***

The following is a DFT calculation (PBE) of YAl2Te after structural relaxation.

Unit cell a=4.4280 b=4.4280 c=4.6544 alpha=90.00 beta=90.00 gamma=90.00
Space group P4/mmm (No. 123)
Unique sites:
Y 0.0000 0.0000 0.0000
Al 0.0000 0.5000 0.5000
Te 0.5000 0.5000 0.0000

For the uncorrected formation energy, the calculation gives -330 meV/atom. For the final energy, the calculation gives -18.4 eV/f.u.

***

no.,total magnetization (Bohr magnetons per cell),density of states at the Fermi level (states/eV per atom),V (Å³/atom)
1,0.00,0.79,47.69
2,0.00,1.43,21.94
3,0.00,0.42,22.81